1.
First-principles (PBE) data for a relaxed DyHo2ScIn2 crystal, as listed in the Open Quantum Materials Database.

Spin magnetization in μB per cell: 1.08
Calculated total energy in eV/atom: -4.61
Space group: P-6m2
Density in g/cm3: 8.05

Unit cell a=5.2575 b=5.2575 c=6.6102 alpha=90.00 beta=90.00 gamma=120.00
With the nearest neighbours (Å) after each atom.
Atoms (fractional coordinates):
1 Dy 0.0000 0.0000 0.0000  5 In 3.04-3.31
2 Ho 0.6667 0.3333 0.2583  2 Ho 3.20-3.41, 3 Sc 3.43, 6 In 3.43-3.48, 3 Dy 3.48
3 Ho 0.6667 0.3333 0.7417  2 Ho 3.20-3.41, 3 Sc 3.43, 6 In 3.43-3.48, 3 Dy 3.48
4 In 0.3333 0.6667 0.0000  3 Dy 3.04, 2 Sc 3.31
5 In 0.0000 0.0000 0.5000  3 Sc 3.04, 2 Dy 3.31
6 Sc 0.3333 0.6667 0.5000  5 In 3.04-3.31



2.
First-principles (PBE) data for a relaxed SmDy2HoIn2 crystal, as listed in the Open Quantum Materials Database.

Spin magnetization in μB per cell: 1.06
Calculated total energy in eV/atom: -4.35
Space group: P-6m2
Density in g/cm3: 8.44

Unit cell a=5.4080 b=5.4080 c=6.7547 alpha=90.00 beta=90.00 gamma=120.00
With the nearest neighbours (Å) after each atom.
Atoms (fractional coordinates):
1 Dy 0.6667 0.3333 0.2550  2 Dy 3.31-3.45, 3 Ho 3.53, 6 In 3.53-3.57, 3 Sm 3.57
2 Dy 0.6667 0.3333 0.7450  2 Dy 3.31-3.45, 3 Ho 3.53, 6 In 3.53-3.57, 3 Sm 3.57
3 Ho 0.3333 0.6667 0.5000  5 In 3.12-3.38
4 In 0.3333 0.6667 0.0000  3 Sm 3.12, 2 Ho 3.38
5 In 0.0000 0.0000 0.5000  3 Ho 3.12, 2 Sm 3.38
6 Sm 0.0000 0.0000 0.0000  5 In 3.12-3.38



3.
First-principles (PBE) data for a relaxed Dy2HoTmIn2 crystal, as listed in the Open Quantum Materials Database.

Spin magnetization in μB per cell: 0.58
Calculated total energy in eV/atom: -4.31
Space group: P-6m2
Density in g/cm3: 8.83

Unit cell a=5.3653 b=5.3653 c=6.7052 alpha=90.00 beta=90.00 gamma=120.00
With the nearest neighbours (Å) after each atom.
Atoms (fractional coordinates):
1 Dy 0.6667 0.3333 0.2503  2 Dy 3.35-3.36, 6 In 3.52, 3 Tm 3.52, 3 Ho 3.52
2 Dy 0.6667 0.3333 0.7497  2 Dy 3.35-3.36, 6 In 3.52, 3 Tm 3.52, 3 Ho 3.52
3 Ho 0.0000 0.0000 0.0000  5 In 3.10-3.35
4 In 0.3333 0.6667 0.0000  3 Ho 3.10, 2 Tm 3.35
5 In 0.0000 0.0000 0.5000  3 Tm 3.10, 2 Ho 3.35
6 Tm 0.3333 0.6667 0.5000  5 In 3.10-3.35



4.
First-principles (PBE) data for a relaxed DyHo2TmIn2 crystal, as listed in the Open Quantum Materials Database.

Spin magnetization in μB per cell: 0.64
Calculated total energy in eV/atom: -4.30
Space group: P-6m2
Density in g/cm3: 8.92

Unit cell a=5.3517 b=5.3517 c=6.6845 alpha=90.00 beta=90.00 gamma=120.00
With the nearest neighbours (Å) after each atom.
Atoms (fractional coordinates):
1 Dy 0.6667 0.3333 0.0000  5 In 3.09-3.34
2 Ho 0.0000 0.0000 0.2510  2 Ho 3.33-3.36, 3 Tm 3.51, 6 In 3.51-3.52, 3 Dy 3.52
3 Ho 0.0000 0.0000 0.7490  2 Ho 3.33-3.36, 3 Tm 3.51, 6 In 3.51-3.52, 3 Dy 3.52
4 In 0.3333 0.6667 0.0000  3 Dy 3.09, 2 Tm 3.34
5 In 0.6667 0.3333 0.5000  3 Tm 3.09, 2 Dy 3.34
6 Tm 0.3333 0.6667 0.5000  5 In 3.09-3.34



5.
First-principles (PBE) data for a relaxed Dy2HoMg3Ir3 crystal, as listed in the Open Quantum Materials Database.

Spin magnetization in μB per cell: 0.00
Calculated total energy in eV/atom: -5.69
Space group: Amm2
Density in g/cm3: 10.28

Unit cell a=4.0491 b=7.2448 c=7.2448 alpha=119.99 beta=90.00 gamma=90.00
With the nearest neighbours (Å) after each atom.
Atoms (fractional coordinates):
1 Dy 0.0000 0.5906 0.0000  5 Ir 2.97-2.99, 6 Mg 3.22-3.28
2 Dy 0.0000 0.0000 0.5906  5 Ir 2.97-2.99, 6 Mg 3.22-3.28
3 Ho 0.0000 0.4090 0.4090  5 Ir 2.96-2.98, 6 Mg 3.22-3.28
4 Ir 0.0000 0.0006 0.0006  6 Mg 2.69, 1 Ho 2.96, 2 Dy 2.97
5 Ir 0.5000 0.6661 0.3336  3 Mg 2.79-2.80, 2 Ho 2.98, 4 Dy 2.99
6 Ir 0.5000 0.3336 0.6661  3 Mg 2.79-2.80, 2 Ho 2.98, 4 Dy 2.99
7 Mg 0.5000 0.2447 0.0003  4 Ir 2.69-2.80
8 Mg 0.5000 0.0003 0.2447  4 Ir 2.69-2.80
9 Mg 0.5000 0.7551 0.7551  4 Ir 2.69-2.79



6.
First-principles (PBE) data for a relaxed DyHo2NiIr2Pb3 crystal, as listed in the Open Quantum Materials Database.

Spin magnetization in μB per cell: 0.00
Calculated total energy in eV/atom: -5.90
Space group: Amm2
Density in g/cm3: 13.21

Unit cell a=3.7521 b=7.7631 c=7.7631 alpha=120.06 beta=90.00 gamma=90.00
With the nearest neighbours (Å) after each atom.
Atoms (fractional coordinates):
1 Dy 0.0000 0.5938 0.5938  4 Ir 3.02, 1 Ni 3.15, 6 Pb 3.21-3.34
2 Ho 0.0000 0.4062 0.0000  4 Ir 3.01, 1 Ni 3.15, 6 Pb 3.21-3.34
3 Ho 0.0000 0.0000 0.4062  4 Ir 3.01, 1 Ni 3.15, 6 Pb 3.21-3.34
4 Ir 0.5000 0.6668 0.3328  3 Pb 2.91-2.92, 4 Ho 3.01, 2 Dy 3.02
5 Ir 0.5000 0.3328 0.6668  3 Pb 2.91-2.92, 4 Ho 3.01, 2 Dy 3.02
6 Ni 0.0000 0.0002 0.0002  6 Pb 2.75
7 Pb 0.5000 0.7412 0.0003  2 Ni 2.75, 2 Ir 2.91-2.92
8 Pb 0.5000 0.2586 0.2586  2 Ni 2.75, 2 Ir 2.92
9 Pb 0.5000 0.0003 0.7412  2 Ni 2.75, 2 Ir 2.91-2.92



Please write out number 2 again, unchanged.
First-principles (PBE) data for a relaxed SmDy2HoIn2 crystal, as listed in the Open Quantum Materials Database.

Spin magnetization in μB per cell: 1.06
Calculated total energy in eV/atom: -4.35
Space group: P-6m2
Density in g/cm3: 8.44

Unit cell a=5.4080 b=5.4080 c=6.7547 alpha=90.00 beta=90.00 gamma=120.00
With the nearest neighbours (Å) after each atom.
Atoms (fractional coordinates):
1 Dy 0.6667 0.3333 0.2550  2 Dy 3.31-3.45, 3 Ho 3.53, 6 In 3.53-3.57, 3 Sm 3.57
2 Dy 0.6667 0.3333 0.7450  2 Dy 3.31-3.45, 3 Ho 3.53, 6 In 3.53-3.57, 3 Sm 3.57
3 Ho 0.3333 0.6667 0.5000  5 In 3.12-3.38
4 In 0.3333 0.6667 0.0000  3 Sm 3.12, 2 Ho 3.38
5 In 0.0000 0.0000 0.5000  3 Ho 3.12, 2 Sm 3.38
6 Sm 0.0000 0.0000 0.0000  5 In 3.12-3.38



Among the records above, which one has the highest calculated total energy? DyHo2TmIn2